No. 1
Density functional theory data (PBE) for an optimized crystal structure of PrTmHg.

Calculated values
Its space group is P-62m (189). As for the energy relative to the elements: -289.8 meV per atom. Its energy above the lowest structure with this stoichiometry is 42 meV per atom. Its density of states at the Fermi level is 1.391 states/eV/atom.

Lattice parameters (Å, degrees): 7.9975 7.9975 9.6649 90.00 90.00 120.00
Last column: nearest neighbours and their distance in Å.
Element x y z (fractional)
Pr 0.0000 0.6030 0.2500  5 Hg 3.18-3.44
Pr 0.3970 0.3970 0.2500  5 Hg 3.18-3.44
Pr 0.6030 0.0000 0.2500  5 Hg 3.18-3.44
Pr 0.3970 0.3970 0.7500  5 Hg 3.18-3.44
Pr 0.0000 0.6030 0.7500  5 Hg 3.18-3.44
Pr 0.6030 0.0000 0.7500  5 Hg 3.18-3.44
Tm 0.0000 0.2640 0.0000  4 Hg 2.98-3.21
Tm 0.7360 0.7360 0.0000  4 Hg 2.98-3.21
Tm 0.2640 0.0000 0.0000  4 Hg 2.98-3.21
Tm 0.0000 0.2640 0.5000  4 Hg 2.98-3.21
Tm 0.7360 0.7360 0.5000  4 Hg 2.98-3.21
Tm 0.2640 0.0000 0.5000  4 Hg 2.98-3.21
Hg 0.0000 0.0000 0.2500  3 Pr 3.18, 6 Tm 3.21
Hg 0.0000 0.0000 0.7500  3 Pr 3.18, 6 Tm 3.21
Hg 0.6667 0.3333 0.9999  3 Tm 2.98
Hg 0.6667 0.3333 0.5001  3 Tm 2.98
Hg 0.3333 0.6667 0.0001  3 Tm 2.98
Hg 0.3333 0.6667 0.4999  3 Tm 2.98

No. 2
Density functional theory data (PBE) for an optimized crystal structure of Ce3As2S2.

Calculated values
Its space group is C2/m (12). As for the calculated total energy: -6.543 eV/atom. Its density of states at the Fermi level is 2.264 states/eV/atom.

Lattice parameters (Å, degrees): 4.2405 7.2431 7.9677 117.73 105.43 90.00
Last column: nearest neighbours and their distance in Å.
Element x y z (fractional)
Ce 0.0000 0.5000 0.0000  2 S 2.84, 4 As 2.98
Ce 0.2827 0.7752 0.5654  3 S 2.78-2.89, 3 As 2.93-3.03
Ce 0.7173 0.2248 0.4346  3 S 2.78-2.89, 3 As 2.93-3.03
As 0.6400 0.7682 0.2799  5 Ce 2.93-3.03
As 0.3600 0.2318 0.7201  5 Ce 2.93-3.03
S 0.8657 0.6658 0.7315  4 Ce 2.78-2.89
S 0.1343 0.3342 0.2685  4 Ce 2.78-2.89

No. 3
Density functional theory data (PBE) for an optimized crystal structure of CdSb2Se.

Calculated values
Its space group is Immm (71). Its energy above the lowest structure with this stoichiometry is 289 meV per atom. Its density of states at the Fermi level is 0.601 states/eV/atom.

Lattice parameters (Å, degrees): 5.9341 5.9341 5.9341 144.15 121.79 70.29
Last column: nearest neighbours and their distance in Å.
Element x y z (fractional)
Cd 0.2500 0.7500 0.5000  4 Sb 3.15, 4 Se 3.42
Sb 0.9857 0.9857 0.0000  2 Se 2.93, 2 Cd 3.15
Sb 0.5143 0.5143 0.0000  2 Se 2.93, 2 Cd 3.15
Se 0.7500 0.2500 0.5000  4 Sb 2.93

No. 4
Density functional theory data (PBE) for an optimized crystal structure of K2Ge3BiAu12.

Calculated values
Its space group is R-3m (166). As for the energy relative to the elements: 99.2 meV per atom. Its density of states at the Fermi level is 0.355 states/eV/atom.

Lattice parameters (Å, degrees): 8.7569 8.7569 8.7569 63.12 63.12 63.12
Last column: nearest neighbours and their distance in Å.
Element x y z (fractional)
K 0.5992 0.5992 0.5992  6 Au 3.44-3.64
K 0.4008 0.4008 0.4008  6 Au 3.44-3.64
Ge 0.5000 0.0000 0.0000  6 Au 2.59-2.69
Ge 0.0000 0.5000 0.0000  6 Au 2.59-2.69
Ge 0.0000 0.0000 0.5000  6 Au 2.59-2.69
Bi 0.0000 0.0000 0.0000  6 Au 2.78
Au 0.3326 0.3326 0.9966  2 Ge 2.59, 2 Au 2.80
Au 0.8709 0.8709 0.3731  1 Ge 2.69, 1 Bi 2.78, 2 Au 2.80
Au 0.3731 0.8709 0.8709  1 Ge 2.69, 1 Bi 2.78, 2 Au 2.80
Au 0.9966 0.3326 0.3326  2 Ge 2.59, 2 Au 2.80
Au 0.8709 0.3731 0.8709  1 Ge 2.69, 1 Bi 2.78, 2 Au 2.80
Au 0.3326 0.9966 0.3326  2 Ge 2.59, 2 Au 2.80
Au 0.6674 0.6674 0.0034  2 Ge 2.59, 2 Au 2.80
Au 0.1291 0.1291 0.6269  1 Ge 2.69, 1 Bi 2.78, 2 Au 2.80
Au 0.6269 0.1291 0.1291  1 Ge 2.69, 1 Bi 2.78, 2 Au 2.80
Au 0.0034 0.6674 0.6674  2 Ge 2.59, 2 Au 2.80
Au 0.1291 0.6269 0.1291  1 Ge 2.69, 1 Bi 2.78, 2 Au 2.80
Au 0.6674 0.0034 0.6674  2 Ge 2.59, 2 Au 2.80

No. 5
Density functional theory data (PBE) for an optimized crystal structure of TlCo2Ni.

Calculated values
Its space group is Pmm2 (25). As for the energy relative to the elements: 357.3 meV per atom. Its energy above the lowest structure with this stoichiometry is 0 meV per atom. Its density of states at the Fermi level is 1.278 states/eV/atom.

Lattice parameters (Å, degrees): 3.0644 3.0084 6.8021 63.69 90.00 90.00
Last column: nearest neighbours and their distance in Å.
Element x y z (fractional)
Co 0.0000 0.9451 0.0553  4 Co 2.42-2.43, 1 Ni 2.47
Co 0.5000 0.2598 0.2402  4 Co 2.42-2.43, 4 Ni 2.53
Ni 0.0000 0.5400 0.4599  5 Co 2.47-2.53, 4 Tl 2.76
Tl 0.5000 0.7551 0.7446  4 Ni 2.76, 6 Co 2.86-3.08, 4 Tl 3.01-3.06

No. 6
Density functional theory data (PBE) for an optimized crystal structure of Ce2AgP.

Calculated values
Its space group is R3m (160). As for the energy relative to the elements: -661.6 meV per atom. Its density of states at the Fermi level is 2.829 states/eV/atom.

Lattice parameters (Å, degrees): 3.9782 3.9782 8.0817 75.75 75.75 60.00
Last column: nearest neighbours and their distance in Å.
Element x y z (fractional)
Ce 0.0712 0.0712 0.7864  3 P 2.83
Ce 0.2620 0.2620 0.2141  3 P 2.83
Ag 0.5002 0.5002 0.4995  6 Ce 3.19-3.20
P 0.6666 0.6666 0.0001  6 Ce 2.83

No. 7
Density functional theory data (PBE) for an optimized crystal structure of ThAgGe2.

Calculated values
Its space group is I4/mmm (139). As for the energy relative to the elements: -433.4 meV per atom. Its density of states at the Fermi level is 0.441 states/eV/atom.

Lattice parameters (Å, degrees): 4.2459 4.2459 10.2156 101.99 101.99 90.00
Last column: nearest neighbours and their distance in Å.
Element x y z (fractional)
Th 0.1131 0.1131 0.2262  8 Ge 3.06-3.12, 4 Ag 3.41
Th 0.8869 0.8869 0.7738  8 Ge 3.06-3.12, 4 Ag 3.41
Ag 0.7500 0.2500 0.5000  4 Ge 2.79, 4 Ag 3.00
Ag 0.2500 0.7500 0.5000  4 Ge 2.79, 4 Ag 3.00
Ge 0.3430 0.3430 0.6859  4 Ag 2.79, 4 Th 3.12
Ge 0.6570 0.6570 0.3141  4 Ag 2.79, 4 Th 3.12
Ge 0.5000 0.0000 0.0000  4 Ge 3.00, 4 Th 3.06
Ge 0.0000 0.5000 0.0000  4 Ge 3.00, 4 Th 3.06

No. 8
Density functional theory data (PBE) for an optimized crystal structure of Pr2MgSe3.

Calculated values
Its space group is Cm (8). As for the calculated total energy: -5.186 eV/atom. Its density of states at the Fermi level is 0.384 states/eV/atom.

Lattice parameters (Å, degrees): 4.1695 4.1680 9.3753 102.87 102.87 89.94
Last column: nearest neighbours and their distance in Å.
Element x y z (fractional)
Pr 0.1116 0.1120 0.2220  6 Se 2.97-3.10
Pr 0.7637 0.7641 0.5258  6 Se 2.97-3.10
Mg 0.4158 0.4230 0.8742  5 Se 2.72-2.97
Se 0.9384 0.9384 0.8739  4 Mg 2.84-3.06, 2 Pr 3.10
Se 0.2854 0.2857 0.5685  1 Mg 2.72, 4 Pr 2.97-2.98
Se 0.5906 0.5909 0.1794  1 Mg 2.72, 4 Pr 2.97-2.98

No. 9
Density functional theory data (PBE) for an optimized crystal structure of CaY2AlCo.

Calculated values
Its space group is P4/mmm (123). As for the energy relative to the elements: -142.2 meV per atom. Its density of states at the Fermi level is 0.648 states/eV/atom.

Lattice parameters (Å, degrees): 5.2119 5.2119 4.7967 90.00 90.00 90.00
Last column: nearest neighbours and their distance in Å.
Element x y z (fractional)
Y 0.0000 0.5000 0.0000  2 Co 2.61
Y 0.5000 0.0000 0.0000  2 Co 2.61
Ca 0.5000 0.5000 0.5000  8 Y 3.54, 4 Al 3.69
Co 0.0000 0.0000 0.0000  2 Al 2.40, 4 Y 2.61
Al 0.0000 0.0000 0.5000  2 Co 2.40

No. 10
Density functional theory data (PBE) for an optimized crystal structure of Li6Cd2Cu.

Calculated values
Its space group is P-62m (189). As for the energy relative to the elements: -107.1 meV per atom. Its energy above the lowest structure with this stoichiometry is 15 meV per atom. Its density of states at the Fermi level is 0.373 states/eV/atom.

Lattice parameters (Å, degrees): 2.9984 7.8667 7.8690 119.99 90.00 90.00
Last column: nearest neighbours and their distance in Å.
Element x y z (fractional)
Li 0.5000 0.6309 0.0000  1 Cu 2.91, 4 Cd 2.91, 8 Li 3.00-3.21
Li 0.5000 0.3687 0.3686  1 Cu 2.90, 4 Cd 2.91, 8 Li 3.00-3.21
Li 0.5000 0.0001 0.6314  1 Cu 2.90, 4 Cd 2.91, 8 Li 3.00-3.21
Li 0.0000 0.2708 0.0000  2 Cu 2.60, 2 Cd 2.90
Li 0.0000 0.7294 0.7297  2 Cu 2.60, 2 Cd 2.90
Li 0.0000 0.9997 0.2703  2 Cu 2.60, 2 Cd 2.90
Cd 0.0000 0.3332 0.6665  9 Li 2.90-2.91, 2 Cd 3.00
Cd 0.0000 0.6668 0.3335  9 Li 2.90-2.91, 2 Cd 3.00
Cu 0.5000 0.0003 0.0000  9 Li 2.60-2.91

No. 11
Density functional theory data (PBE) for an optimized crystal structure of Sm2DyTm.

Calculated values
Its space group is P4/mmm (123). As for the energy relative to the elements: 20.7 meV per atom. Its energy above the lowest structure with this stoichiometry is 4 meV per atom. Its density of states at the Fermi level is 1.379 states/eV/atom.

Lattice parameters (Å, degrees): 3.5735 3.5735 10.0829 90.00 90.00 90.00
Last column: nearest neighbours and their distance in Å.
Element x y z (fractional)
Tm 0.5000 0.5000 0.0000  8 Sm 3.56, 4 Tm 3.57
Sm 0.0000 0.0000 0.7519  4 Tm 3.56, 4 Sm 3.57, 4 Dy 3.58
Sm 0.0000 0.0000 0.2481  4 Tm 3.56, 4 Sm 3.57, 4 Dy 3.58
Dy 0.5000 0.5000 0.5000  4 Dy 3.57, 8 Sm 3.58

No. 12
Density functional theory data (PBE) for an optimized crystal structure of ThCoSnH.

Calculated values
Its space group is P-6m2 (187). As for the calculated total energy: -5.925 eV/atom. Its density of states at the Fermi level is 0.622 states/eV/atom.

Lattice parameters (Å, degrees): 4.5860 4.5861 3.6818 90.00 90.00 120.00
Last column: nearest neighbours and their distance in Å.
Element x y z (fractional)
Th 0.5719 0.1439 0.3098  3 H 2.65
Co 0.2386 0.4772 0.8096  2 H 1.84
Sn 0.9053 0.8105 0.8099  3 Co 2.65
H 0.2385 0.4771 0.3098  2 Co 1.84